No. 1
The following is a GGA-PBE calculation of a relaxed CsMgSe crystal, from Alexandria via LeMat-Bulk.

## Properties
Its formation energy from raw total energies is -73.6 kJ/mol of atoms. As for the volume: 45.06 Å³ per atom. As for the symmetry: P4/nmm.

Cell: 4.7025 4.7025 12.2269 Å, 90.00 90.00 90.00°
Closest atoms and distances in Å follow each position.
Element x y z (fractional)
1 Se 0.5000 0.0000 0.6106  4 Mg 2.71
2 Mg 0.0000 0.0000 0.5000  4 Se 2.71
3 Cs 0.5000 0.0000 0.1863  4 Se 4.15, 4 Mg 4.50
4 Cs 0.0000 0.5000 0.8137  4 Se 4.15, 4 Mg 4.50
5 Se 0.0000 0.5000 0.3894  4 Mg 2.71
6 Mg 0.5000 0.5000 0.5000  4 Se 2.71

No. 2
The following is a GGA-PBE calculation of a relaxed Mg2GeP3Ir8 crystal, from Alexandria via LeMat-Bulk.

## Properties
As for the volume: 18.23 Å³ per atom. The formation energy is 61 meV/atom. As for the symmetry: R3m.

Cell: 7.2476 7.2476 6.9984 Å, 58.82 58.82 60.00°
Closest atoms and distances in Å follow each position.
Element x y z (fractional)
1 Ir 0.7088 0.7088 0.8735  3 P 2.36, 1 Ge 2.41
2 Ir 0.8336 0.2299 0.1030  2 P 2.38, 1 Ge 2.53
3 Ir 0.8336 0.8336 0.1030  2 P 2.38, 1 Ge 2.53
4 Ir 0.6518 0.2729 0.8025  2 P 2.30
5 Ir 0.2729 0.6518 0.8025  2 P 2.30
6 Ir 0.2299 0.8336 0.1030  2 P 2.38, 1 Ge 2.53
7 Ir 0.2729 0.2729 0.8025  2 P 2.30
8 Mg 0.5325 0.5325 0.4025  7 Ir 2.75-3.03, 3 P 2.93
9 Ge 0.8522 0.8522 0.4434  4 Ir 2.41-2.53
10 Ir 0.2520 0.2520 0.2441  3 P 2.32, 1 Mg 2.57
11 Mg 0.0992 0.0992 0.7025  7 Ir 2.57-2.79
12 P 0.4798 0.9938 0.0465  6 Ir 2.30-2.38
13 P 0.9938 0.4798 0.0465  6 Ir 2.30-2.38
14 P 0.4798 0.4798 0.0465  6 Ir 2.30-2.38

No. 3
The following is a GGA-PBE calculation of a relaxed SrPr3Tl2 crystal, from Alexandria via LeMat-Bulk.

## Properties
As for the volume: 34.74 Å³ per atom. The formation energy is -179 meV/atom. As for the symmetry: C2/m.

Cell: 5.5823 10.0190 9.4661 Å, 123.36 90.00 106.18°
Closest atoms and distances in Å follow each position.
Element x y z (fractional)
1 Pr 0.6953 0.3906 0.3942  2 Tl 3.16-3.34, 2 Pr 3.38
2 Tl 0.4948 0.9896 0.1540  1 Tl 3.03, 2 Pr 3.13-3.16
3 Tl 0.5052 0.0104 0.8460  1 Tl 3.03, 2 Pr 3.13-3.16
4 Pr 0.3047 0.6094 0.6058  2 Tl 3.16-3.34, 2 Pr 3.38
5 Tl 0.2287 0.4574 0.8469  5 Pr 3.28-3.49, 3 Sr 3.56-3.68
6 Sr 0.8725 0.7451 0.9345  5 Tl 3.47-3.68, 2 Pr 3.81
7 Pr 0.0642 0.1283 0.4170  3 Tl 3.44-3.46, 5 Pr 3.61-3.85
8 Sr 0.1275 0.2549 0.0655  5 Tl 3.47-3.68, 2 Pr 3.81
9 Pr 0.3808 0.7615 0.2913  4 Tl 3.13-3.49
10 Pr 0.9358 0.8717 0.5830  3 Tl 3.44-3.46, 5 Pr 3.61-3.85
11 Pr 0.6192 0.2385 0.7087  4 Tl 3.13-3.49
12 Tl 0.7713 0.5426 0.1531  5 Pr 3.28-3.49, 3 Sr 3.56-3.68

No. 4
The following is a GGA-PBE calculation of a relaxed RbNdBr3 crystal, from Alexandria via LeMat-Bulk.

## Properties
Its formation energy from raw total energies is -153.2 kJ/mol of atoms. As for the volume: 39.78 Å³ per atom. As for the symmetry: Pm-3m.

Cell: 5.8371 5.8371 5.8371 Å, 90.00 90.00 90.00°
Closest atoms and distances in Å follow each position.
Element x y z (fractional)
1 Br 0.5000 0.0000 0.0000  2 Nd 2.92
2 Rb 0.5000 0.5000 0.5000  12 Br 4.13
3 Br 0.0000 0.0000 0.5000  2 Nd 2.92
4 Br 0.0000 0.5000 0.0000  2 Nd 2.92
5 Nd 0.0000 0.0000 0.0000  6 Br 2.92

No. 5
The following is a GGA-PBE calculation of a relaxed LiPm2RuO6 crystal, from Alexandria via LeMat-Bulk.

## Properties
Its formation energy from raw total energies is -231.7 kJ/mol of atoms. As for the volume: 12.20 Å³ per atom. As for the symmetry: P2_1/c.

Cell: 5.4208 5.8247 7.7253 Å, 90.00 89.38 90.00°
Closest atoms and distances in Å follow each position.
Element x y z (fractional)
1 O 0.6040 0.0344 0.2555  1 Ru 1.98, 1 Li 2.07
2 Li 0.0000 0.5000 0.5000  6 O 2.07-2.18
3 Pm 0.0182 0.9250 0.2514  6 O 2.33-2.58
4 O 0.8960 0.5344 0.2445  1 Ru 1.98, 1 Li 2.07
5 O 0.7012 0.3170 0.9500  1 Ru 1.98, 1 Li 2.18
6 O 0.1040 0.4656 0.7555  1 Ru 1.98, 1 Li 2.07
7 O 0.7988 0.8170 0.5500  1 Ru 1.98, 1 Li 2.18
8 Pm 0.9818 0.0750 0.7486  6 O 2.33-2.58
9 Pm 0.4818 0.4250 0.2486  6 O 2.33-2.58
10 O 0.3224 0.7100 0.4442  1 Ru 1.99, 1 Li 2.17
11 O 0.1776 0.2100 0.0558  1 Ru 1.99, 1 Li 2.17
12 O 0.2988 0.6830 0.0500  1 Ru 1.98, 1 Li 2.18
13 Li 0.5000 0.0000 0.0000  6 O 2.07-2.18
14 O 0.6776 0.2900 0.5558  1 Ru 1.99, 1 Li 2.17
15 Ru 0.5000 0.0000 0.5000  6 O 1.98-1.99
16 Ru 0.0000 0.5000 0.0000  6 O 1.98-1.99
17 O 0.8224 0.7900 0.9442  1 Ru 1.99, 1 Li 2.17
18 O 0.3960 0.9656 0.7445  1 Ru 1.98, 1 Li 2.07
19 Pm 0.5182 0.5750 0.7514  6 O 2.33-2.58
20 O 0.2012 0.1830 0.4500  1 Ru 1.98, 1 Li 2.18

No. 6
The following is a GGA-PBE calculation of a relaxed SmPbAu4 crystal, from Alexandria via LeMat-Bulk.

## Properties
As for the volume: 21.87 Å³ per atom. The formation energy is -393 meV/atom. As for the symmetry: F-43m.

Cell: 5.7037 5.7037 5.7037 Å, 60.00 60.00 60.00°
Closest atoms and distances in Å follow each position.
Element x y z (fractional)
1 Au 0.1254 0.6249 0.6249  6 Au 2.85
2 Au 0.6249 0.1253 0.6249  6 Au 2.85
3 Pb 0.0000 0.0000 0.0000  12 Au 3.34, 4 Sm 3.49
4 Sm 0.2500 0.2500 0.2500  12 Au 3.34, 4 Pb 3.49
5 Au 0.6249 0.6249 0.1253  6 Au 2.85
6 Au 0.6249 0.6249 0.6249  6 Au 2.85

No. 7
The following is a GGA-PBE calculation of a relaxed InNi2HAu crystal, from Alexandria via LeMat-Bulk.

## Properties
For the total energy, the calculation gives -4.172 eV per atom. As for the volume: 12.51 Å³ per atom. As for the symmetry: P4/mmm.

Cell: 3.9716 3.9716 3.9655 Å, 90.00 90.00 90.00°
Closest atoms and distances in Å follow each position.
Element x y z (fractional)
1 Ni 0.5000 0.0000 0.0000  2 H 1.99
2 H 0.0000 0.0000 0.0000  2 Au 1.98, 4 Ni 1.99
3 Ni 0.0000 0.5000 0.0000  2 H 1.99
4 Au 0.0000 0.0000 0.5000  2 H 1.98
5 In 0.5000 0.5000 0.5000  8 Ni 2.81, 4 Au 2.81

No. 8
The following is a GGA-PBE calculation of a relaxed CuRe2W crystal, from Alexandria via LeMat-Bulk.

## Properties
As for the volume: 14.82 Å³ per atom. The formation energy is 245 meV/atom. As for the symmetry: P2/m.

Cell: 4.3975 2.6539 5.1397 Å, 81.22 90.00 90.00°
Closest atoms and distances in Å follow each position.
Element x y z (fractional)
1 Cu 0.5000 0.7500 0.7500  2 Cu 2.65, 4 Re 2.67, 2 W 2.71
2 Re 0.0000 0.4833 0.5095  4 Re 2.59-2.82, 2 Cu 2.67, 2 W 2.69
3 W 0.5000 0.2500 0.2500  2 W 2.65, 4 Re 2.69, 2 Cu 2.71
4 Re 0.0000 0.0167 0.9905  4 Re 2.59-2.82, 2 Cu 2.67, 2 W 2.69